(1)
A relaxed TaTiAl2Sn crystal. Source: Alexandria via LeMat-Bulk, functional PBE.

Lattice parameters (Å, degrees): 4.9130 5.1718 4.9130 90.00 90.00 90.00
Sites, in units of the cell vectors:
Al: 0.5000 0.0000 0.0000
Al: 0.0000 0.0000 0.5000
Ta: 0.0000 0.5000 0.0000
Ti: 0.5000 0.5000 0.5000
Sn: 0.0000 0.0000 0.0000

Properties
* E_form: 1.5117 eV/atom
* VASP energy: -4.7354 eV/atom
* D(E_F): 1.382 states/eV/atom

---

(2)
A relaxed ZrTaAlSn2 crystal. Source: Alexandria via LeMat-Bulk, functional PBE.

Lattice parameters (Å, degrees): 4.9943 4.9981 4.9943 90.00 90.00 90.00
Sites, in units of the cell vectors:
Ta: 0.5000 0.5000 0.5000
Al: 0.0000 0.0000 0.0000
Sn: 0.5000 0.0000 0.0000
Sn: 0.0000 0.0000 0.5000
Zr: 0.0000 0.5000 0.0000

Properties
* E_form: 1.1474 eV/atom
* VASP energy: -5.2824 eV/atom
* D(E_F): 1.140 states/eV/atom

---

(3)
A relaxed TbAl4Sn crystal. Source: Alexandria via LeMat-Bulk, functional PBE.

Lattice parameters (Å, degrees): 5.5649 5.5649 5.5649 60.00 60.00 60.00
Sites, in units of the cell vectors:
Sn: 0.0000 0.0000 0.0000
Al: 0.6249 0.1253 0.6249
Al: 0.6249 0.6249 0.1253
Al: 0.6249 0.6249 0.6249
Al: 0.1253 0.6249 0.6249
Tb: 0.2500 0.2500 0.2500

Properties
* E_form: -0.2091 eV/atom
* VASP energy: -4.1430 eV/atom
* D(E_F): 0.579 states/eV/atom

---

(4)
A relaxed Tb5Al2Sn2 crystal. Source: Alexandria via LeMat-Bulk, functional PBE.

Lattice parameters (Å, degrees): 7.9575 8.0844 8.7943 117.36 90.00 90.00
Sites, in units of the cell vectors:
Tb: 0.6752 0.3150 0.2727
Tb: 0.8248 0.8150 0.2727
Tb: 0.0000 0.0000 0.0000
Tb: 0.8248 0.5424 0.7273
Tb: 0.5000 0.5000 0.0000
Tb: 0.3248 0.6850 0.7273
Tb: 0.6752 0.0424 0.7273
Tb: 0.3248 0.9576 0.2727
Tb: 0.1752 0.1850 0.7273
Tb: 0.1752 0.4576 0.2727
Sn: 0.5000 0.2911 0.5823
Sn: 0.5000 0.7089 0.4177
Sn: 0.0000 0.2089 0.4177
Sn: 0.0000 0.7911 0.5823
Al: 0.6178 0.8830 0.0000
Al: 0.1178 0.6170 0.0000
Al: 0.3822 0.1170 0.0000
Al: 0.8822 0.3830 0.0000

Properties
* E_form: -0.5209 eV/atom
* VASP energy: -4.8144 eV/atom
* D(E_F): 0.748 states/eV/atom

---

(5)
A relaxed Tb2AlSn crystal. Source: Alexandria via LeMat-Bulk, functional PBE.

Lattice parameters (Å, degrees): 4.5047 4.2099 6.0676 90.00 111.79 90.00
Sites, in units of the cell vectors:
Tb: 0.8046 0.5000 0.6091
Tb: 0.0838 0.0000 0.1676
Sn: 0.3670 0.0000 0.7341
Al: 0.5292 0.5000 0.0583

Properties
* E_form: -0.6070 eV/atom
* VASP energy: -4.8584 eV/atom
* D(E_F): 0.895 states/eV/atom

---

(6)
A relaxed Tb3AlSn2 crystal. Source: Alexandria via LeMat-Bulk, functional PBE.

Lattice parameters (Å, degrees): 4.4495 11.8720 12.2695 90.00 90.00 90.00
Sites, in units of the cell vectors:
Al: 0.7500 0.8695 0.8687
Al: 0.7500 0.6305 0.3687
Al: 0.2500 0.1305 0.1313
Al: 0.2500 0.3695 0.6313
Sn: 0.2500 0.8118 0.9886
Sn: 0.2500 0.5044 0.8128
Sn: 0.7500 0.1882 0.0114
Sn: 0.7500 0.4956 0.1872
Sn: 0.7500 0.0044 0.6872
Sn: 0.2500 0.6882 0.4886
Sn: 0.7500 0.3118 0.5114
Sn: 0.2500 0.9956 0.3128
Tb: 0.7500 0.2041 0.2839
Tb: 0.2500 0.3789 0.0504
Tb: 0.2500 0.0619 0.8730
Tb: 0.2500 0.7041 0.2161
Tb: 0.2500 0.1211 0.5504
Tb: 0.7500 0.9381 0.1270
Tb: 0.2500 0.7959 0.7161
Tb: 0.7500 0.8789 0.4496
Tb: 0.7500 0.6211 0.9496
Tb: 0.2500 0.4381 0.3730
Tb: 0.7500 0.5619 0.6270
Tb: 0.7500 0.2959 0.7839

Properties
* E_form: -0.6183 eV/atom
* VASP energy: -4.8915 eV/atom
* D(E_F): 0.643 states/eV/atom

---

(7)
A relaxed TbAlSn2 crystal. Source: Alexandria via LeMat-Bulk, functional PBE.

Lattice parameters (Å, degrees): 5.0005 5.0005 8.1101 72.04 72.04 60.00
Sites, in units of the cell vectors:
Sn: 0.1160 0.1160 0.6519
Sn: 0.8840 0.8840 0.3481
Tb: 0.5000 0.5000 0.5000
Al: 0.0000 0.0000 0.0000

Properties
* E_form: 0.4148 eV/atom
* VASP energy: -3.6798 eV/atom
* D(E_F): 0.916 states/eV/atom

---

(8)
A relaxed Tb4AlSn2 crystal. Source: Alexandria via LeMat-Bulk, functional PBE.

Lattice parameters (Å, degrees): 4.9199 4.9199 10.6862 76.69 76.69 60.00
Sites, in units of the cell vectors:
Tb: 0.8759 0.8759 0.3723
Tb: 0.2965 0.2965 0.1105
Tb: 0.1241 0.1241 0.6277
Tb: 0.7035 0.7035 0.8895
Sn: 0.5960 0.5960 0.2120
Sn: 0.4040 0.4040 0.7880
Al: 0.5000 0.5000 0.5000

Properties
* E_form: -0.3704 eV/atom
* VASP energy: -4.6946 eV/atom
* D(E_F): 1.018 states/eV/atom

---

(9)
A relaxed TbAl2Sn crystal. Source: Alexandria via LeMat-Bulk, functional PBE.

Lattice parameters (Å, degrees): 4.3906 4.4426 4.4426 90.00 90.00 90.00
Sites, in units of the cell vectors:
Al: 0.0000 0.0000 0.5000
Al: 0.0000 0.5000 0.0000
Tb: 0.5000 0.5000 0.5000
Sn: 0.5000 0.0000 0.0000

Properties
* E_form: -0.3954 eV/atom
* VASP energy: -4.4249 eV/atom
* D(E_F): 0.410 states/eV/atom

---

(10)
A relaxed Tb2AlSn crystal. Source: Alexandria via LeMat-Bulk, functional PBE.

Lattice parameters (Å, degrees): 4.3002 4.8469 4.8469 90.00 90.00 90.00
Sites, in units of the cell vectors:
Sn: 0.5000 0.0000 0.0000
Tb: 0.0000 0.5000 0.0000
Tb: 0.0000 0.0000 0.5000
Al: 0.5000 0.5000 0.5000

Properties
* E_form: -0.5041 eV/atom
* VASP energy: -4.7556 eV/atom
* D(E_F): 0.674 states/eV/atom

---

(11)
A relaxed Tb2Al3Sn2 crystal. Source: Alexandria via LeMat-Bulk, functional PBE.

Lattice parameters (Å, degrees): 7.6389 7.6389 7.6389 109.47 109.47 109.47
Sites, in units of the cell vectors:
Sn: 0.5000 0.8896 0.5000
Sn: 0.0000 0.0000 0.8896
Sn: 0.3896 0.5000 0.0000
Sn: 0.1104 0.6104 0.6104
Tb: 0.5000 0.5032 0.5000
Tb: 0.4968 0.9968 0.9968
Tb: 0.0032 0.5000 0.0000
Tb: 0.0000 0.0000 0.5032
Al: 0.7305 0.2500 0.4805
Al: 0.9805 0.2305 0.2500
Al: 0.2500 0.0195 0.2695
Al: 0.7500 0.4805 0.2305
Al: 0.7695 0.7500 0.0195
Al: 0.5195 0.2695 0.7500

Properties
* E_form: -0.2338 eV/atom
* VASP energy: -4.3044 eV/atom
* D(E_F): 0.425 states/eV/atom

---

(12)
A relaxed TbAlSn2 crystal. Source: Alexandria via LeMat-Bulk, functional PBE.

Lattice parameters (Å, degrees): 4.5185 4.6087 4.6087 90.00 90.00 90.00
Sites, in units of the cell vectors:
Tb: 0.5000 0.5000 0.5000
Al: 0.5000 0.0000 0.0000
Sn: 0.0000 0.5000 0.0000
Sn: 0.0000 0.0000 0.5000

Properties
* E_form: -0.3960 eV/atom
* VASP energy: -4.4906 eV/atom
* D(E_F): 0.456 states/eV/atom

---

| no. | volume (Å³ per atom) |
| --- | --- |
| 1 | 25.0 |
| 2 | 24.9 |
| 3 | 20.3 |
| 4 | 27.9 |
| 5 | 26.7 |
| 6 | 27.0 |
| 7 | 41.0 |
| 8 | 30.8 |
| 9 | 21.7 |
| 10 | 25.3 |
| 11 | 24.5 |
| 12 | 24.0 |